Sr2BMoO6: relaxed, PBE with a Hubbard U.

Results
E_tot   -6.87 eV/atom
SG   No. 69
Total moment   1.00 μB/f.u.

a = 6.1360 Å, b = 5.6535 Å, c = 5.3881 Å
α = 67.47°, β = 58.33°, γ = 54.20°
Positions (direct):
Sr 0.2500 0.2500 0.2500
Sr 0.7500 0.7500 0.7500
B 0.0000 0.0000 0.0000
Mo 0.5000 0.5000 0.5000
O 0.1894 0.8106 0.8106
O 0.2739 0.7261 0.2739
O 0.2767 0.2767 0.7233
O 0.7233 0.7233 0.2767
O 0.7261 0.2739 0.7261
O 0.8106 0.1894 0.1894